The following is a DFT calculation (PBE) of an optimized crystal structure of PaMnCuNi.

abc: 6.2726 6.2726 6.2726
angles: 90.00 90.00 90.00
Space group F-43m (No. 216)
Symmetry-distinct sites (fractional):
Pa  0.0000  0.0000  0.0000 x4
Mn  0.2500  0.2500  0.2500 x4
Cu  0.0000  0.0000  0.5000 x4
Ni  0.2500  0.2500  0.7500 x4

Calculated formation energy: 0.3 eV/f.u.
DOS at the Fermi energy: 25.76 states/eV/cell